# CrGaMo6H38O40, relaxed, DFT PBE with a Hubbard U
# Calculated total energy   -5.65 eV/atom
# M_tot   2.83 μB/cell
data_CrGaMo6H38O40
_cell_length_a 6.8906
_cell_length_b 11.2741
_cell_length_c 12.0919
_cell_angle_alpha 101.71
_cell_angle_beta 99.35
_cell_angle_gamma 100.66
_symmetry_space_group_name_H-M 'P -1'
_symmetry_Int_Tables_number 2
loop_
_symmetry_equiv_pos_as_xyz
'x,y,z'
'-x,-y,-z'
loop_
_atom_site_label
_atom_site_type_symbol
_atom_site_fract_x
_atom_site_fract_y
_atom_site_fract_z
Cr1 Cr 0.0000 0.0000 0.0000
Ga1 Ga 0.0000 0.5000 0.5000
Mo1 Mo 0.0028 0.9335 0.7113
Mo2 Mo 0.3428 0.2450 0.1830
Mo3 Mo 0.3527 0.1756 0.9007
H1 H 0.0122 0.3060 0.5801
H2 H 0.0201 0.2370 0.9877
H3 H 0.0243 0.3498 0.3030
H4 H 0.0273 0.8041 0.3029
H5 H 0.0312 0.4333 0.8788
H6 H 0.0644 0.5360 0.7358
H7 H 0.1453 0.6147 0.9868
H8 H 0.2371 0.7250 0.1018
H9 H 0.2395 0.8068 0.3797
H10 H 0.2437 0.3740 0.5731
H11 H 0.2586 0.4649 0.8759
H12 H 0.2929 0.9139 0.9137
H13 H 0.2930 0.9772 0.1561
H14 H 0.3492 0.6572 0.5856
H15 H 0.3606 0.5923 0.4525
H16 H 0.3832 0.1049 0.5204
H17 H 0.4545 0.0867 0.6453
H18 H 0.4604 0.5556 0.2888
H19 H 0.4899 0.2975 0.6419
O1 O 0.0183 0.5707 0.6688
O2 O 0.0976 0.3559 0.5343
O3 O 0.1015 0.2262 0.2523
O4 O 0.1049 0.7532 0.3419
O5 O 0.1111 0.6694 0.0539
O6 O 0.1120 0.1802 0.0080
O7 O 0.1206 0.1145 0.7725
O8 O 0.1374 0.4997 0.8663
O9 O 0.1882 0.8953 0.6404
O10 O 0.1945 0.0578 0.3944
O11 O 0.1976 0.0331 0.1483
O12 O 0.2033 0.9706 0.9001
O13 O 0.2840 0.5870 0.5163
O14 O 0.3673 0.4017 0.1828
O15 O 0.3879 0.3323 0.9005
O16 O 0.4499 0.8739 0.1607
O17 O 0.4764 0.7579 0.6999
O18 O 0.4832 0.1417 0.5943
O19 O 0.4834 0.1844 0.0605
O20 O 0.4869 0.3844 0.6356